This record from Alexandria via LeMat-Bulk describes AcPrY6Tm2 after structural relaxation. The functional is PBE-GGA.

Unit cell a=9.3343 b=15.2289 c=9.6079 alpha=90.00 beta=95.28 gamma=90.00
Last column: nearest neighbours and their distance in Å.
Space group C2/c (No. 15)
One atom of each set of equivalent atoms:
Ac  0.0000  0.0334  0.2500 [4 per cell]  4 Tm 3.45-3.58, 6 Y 3.64-3.82
Pr  0.0000  0.4114  0.7500 [4 per cell]  6 Y 3.47-3.55, 2 Tm 3.59
Y  0.0631  0.1832  0.9427 [8 per cell]  6 Y 3.44-3.78, 1 Tm 3.55, 2 Ac 3.80-3.82
Y  0.0973  0.3884  0.1137 [8 per cell]  4 Y 3.26-3.53, 3 Tm 3.32-3.49, 2 Pr 3.47-3.55
Y  0.2152  0.2305  0.3223 [8 per cell]  3 Y 3.26-3.59, 2 Tm 3.46-3.48, 1 Pr 3.54, 1 Ac 3.64
Tm  0.2461  0.4447  0.4487 [8 per cell]  6 Y 3.32-3.55, 2 Ac 3.45-3.58, 1 Pr 3.59

Output
M_tot: 0.00 μB per cell
Energy of formation from the pure elements: 0.13 eV per atom
Total energy: -5.53 eV/atom
Density of states at the Fermi level: 1.56 states/eV per atom

=====

This record from Alexandria via LeMat-Bulk describes AcPr2Y2Tm2 after structural relaxation. The functional is PBE-GGA.

Unit cell a=11.5759 b=5.1549 c=8.1825 alpha=90.00 beta=98.73 gamma=90.00
Last column: nearest neighbours and their distance in Å.
Space group C2/m (No. 12)
One atom of each set of equivalent atoms:
Ac  0.0000  0.0000  0.0000 [2 per cell]  2 Y 3.67, 6 Pr 3.67-3.68, 4 Tm 3.72
Pr  0.2157  0.5000  0.1501 [4 per cell]  3 Y 3.56-3.65, 4 Tm 3.62-3.76, 3 Ac 3.67-3.68, 2 Pr 3.73
Y  0.1416  0.0000  0.4322 [4 per cell]  3 Pr 3.56-3.65, 5 Tm 3.57-3.64, 3 Y 3.62-3.65, 1 Ac 3.67
Tm  0.0740  0.5000  0.7049 [4 per cell]  1 Tm 3.53, 5 Y 3.57-3.64, 4 Pr 3.62-3.76, 2 Ac 3.72

Output
M_tot: 0.00 μB per cell
Energy of formation from the pure elements: 0.04 eV per atom
Total energy: -5.03 eV/atom
Density of states at the Fermi level: 1.57 states/eV per atom

=====

Question: What is the formula in the first record?
Answer: AcPrY6Tm2